Below is a geometry-optimized Al2AuS structure, with properties calculated at the GGA-PBE level.

For the raw formation energy, the calculation gives -0.35 eV per atom. For the density of states at the Fermi level, the calculation gives 0.603 states/eV per atom.

a b c (Å): 5.9873 5.9873 6.5100
angles (deg): 62.62 62.62 90.00
Fractional coordinates of all 8 atoms:
1 S 0.5000 0.5000 0.0000
2 S 0.2500 0.7500 0.5000
3 Au 0.0000 0.0000 0.0000
4 Au 0.7500 0.2500 0.5000
5 Al 0.6174 0.1250 0.2500
6 Al 0.1326 0.6250 0.2500
7 Al 0.3750 0.3826 0.7500
8 Al 0.8750 0.8674 0.7500